Entry 1:
4
Lattice="3.2472 0.0000 0.0000 0.0000 3.2472 0.0000 0.0000 0.0000 4.9957" Properties=species:S:1:pos:R:3 comment="CuSi2Tc PBE optimized geometry" de_polymorph_mev_per_atom=0.0 n_ef_per_ev_cell=0.42 e_form_raw_mev_per_atom=-281.0 crystal_system=tetragonal m_tot_mub_per_cell=0.00 total_energy_ev_per_cell=-26.4 pbc="T T T"
Cu 0.0000 0.0000 0.0000
Si 0.0000 0.0000 2.4051
Si 1.6236 1.6236 0.9346
Tc 1.6236 1.6236 3.3951

=====

Entry 2:
8
Lattice="2.9469 0.0000 0.0000 0.0000 4.7681 0.0000 0.0000 0.0000 7.9613" Properties=species:S:1:pos:R:3 comment="CuSi2Tc PBE optimized geometry" de_polymorph_mev_per_atom=429.9 n_ef_per_ev_cell=5.69 e_form_raw_mev_per_atom=148.9 crystal_system=orthorhombic m_tot_mub_per_cell=0.00 total_energy_ev_per_cell=-49.4 pbc="T T T"
Cu 0.0000 0.0000 0.0000
Cu 1.4735 2.3841 0.0000
Si 0.0000 2.3841 2.0305
Si 0.0000 2.3841 5.9308
Si 1.4735 0.0000 2.0305
Si 1.4735 0.0000 5.9308
Tc 0.0000 0.0000 3.9806
Tc 1.4735 2.3841 3.9806